1.
The following is a GGA-PBE calculation of a relaxed structure of SiP2Se, from Alexandria via LeMat-Bulk.

abc: 5.260 5.260 5.278
angles: 101.92 101.92 36.22
Fractional coordinates of all 4 atoms:
P (0.915, 0.915, 0.188)
P (0.585, 0.585, 0.312)
Se (0.750, 0.750, 0.750)
Si (0.250, 0.250, 0.250)

As for the energy relative to the elements, uncorrected: 0.37 eV per atom. The total magnetization is 0.00 μB/cell. The calculation puts the density of states at the Fermi level at 0.349 states/eV per atom.

---

2.
The following is a GGA-PBE calculation of a relaxed structure of CoPPt2, from Alexandria via LeMat-Bulk.

abc: 4.323 4.323 4.323
angles: 60.00 60.00 60.00
Site moments in Bohr magnetons follow the coordinates.
Fractional coordinates of all 4 atoms:
Co (0.500, 0.500, 0.500)  1.57
P (0.750, 0.750, 0.750)  0.00
Pt (0.000, 0.000, 0.000)  0.05
Pt (0.250, 0.250, 0.250)  0.08

For the formation energy, the calculation gives 3.7 kcal/mol of atoms. The total magnetization is 1.67 μB/cell. The calculation puts the density of states at the Fermi level at 1.323 states/eV per atom.

---

3.
The following is a GGA-PBE calculation of a relaxed structure of La2Sm3ThP6, from Alexandria via LeMat-Bulk.

abc: 4.169 8.336 9.307
angles: 102.75 102.94 90.00
Fractional coordinates of all 12 atoms:
La (0.833, 0.665, 0.666)
La (0.167, 0.335, 0.334)
Sm (0.500, 0.500, 0.000)
Sm (0.833, 0.167, 0.665)
Sm (0.167, 0.833, 0.335)
Th (0.500, 0.000, 0.000)
P (0.335, 0.923, 0.669)
P (0.665, 0.588, 0.329)
P (0.665, 0.077, 0.331)
P (0.998, 0.247, 0.996)
P (0.002, 0.753, 0.004)
P (0.335, 0.412, 0.671)

For the formation energy, the calculation gives -36.6 kcal/mol of atoms. The total magnetization is 0.00 μB/cell. The calculation puts the density of states at the Fermi level at 0.165 states/eV per atom.

---

4.
The following is a GGA-PBE calculation of a relaxed structure of CsTaB2, from Alexandria via LeMat-Bulk.

abc: 6.922 6.922 6.845
angles: 59.63 59.63 90.00
Fractional coordinates of all 8 atoms:
Cs (0.500, 0.500, 0.000)
Cs (0.250, 0.750, 0.500)
B (0.802, 0.125, 0.250)
B (0.948, 0.625, 0.250)
B (0.375, 0.198, 0.750)
B (0.875, 0.052, 0.750)
Ta (0.000, 0.000, 0.000)
Ta (0.750, 0.250, 0.500)

For the formation energy, the calculation gives 27.3 kcal/mol of atoms. The total magnetization is 0.00 μB/cell. The calculation puts the density of states at the Fermi level at 0.950 states/eV per atom.

---

5.
The following is a GGA-PBE calculation of a relaxed structure of MgTi2Ir2, from Alexandria via LeMat-Bulk.

abc: 2.865 3.872 7.413
angles: 74.86 90.00 90.00
Fractional coordinates of all 5 atoms:
Mg (0.000, 0.000, 0.000)
Ti (0.000, 0.193, 0.614)
Ti (0.000, 0.807, 0.386)
Ir (0.500, 0.382, 0.237)
Ir (0.500, 0.618, 0.763)

For the formation energy, the calculation gives -10.7 kcal/mol of atoms. The total magnetization is 0.00 μB/cell. The calculation puts the density of states at the Fermi level at 0.618 states/eV per atom.

---

6.
The following is a GGA-PBE calculation of a relaxed structure of TlBNF2, from Alexandria via LeMat-Bulk.

abc: 4.535 4.535 4.269
angles: 90.00 90.00 90.00
Site moments in Bohr magnetons follow the coordinates.
Fractional coordinates of all 5 atoms:
Tl (0.000, 0.000, 0.000)  -0.01
N (0.000, 0.000, 0.500)  0.81
B (0.500, 0.500, 0.500)  -0.08
F (0.000, 0.500, 0.000)  0.00
F (0.500, 0.000, 0.000)  0.00

As for the energy relative to the elements, uncorrected: 0.76 eV per atom. The total magnetization is 1.01 μB/cell. The calculation puts the density of states at the Fermi level at 0.449 states/eV per atom.

---

7.
The following is a GGA-PBE calculation of a relaxed structure of Ac2PuInPt6, from Alexandria via LeMat-Bulk.

abc: 7.191 7.191 7.191
angles: 60.00 60.00 90.00
Site moments in Bohr magnetons follow the coordinates.
Fractional coordinates of all 10 atoms:
Ac (0.250, 0.750, 0.500)  -0.02
Ac (0.750, 0.250, 0.500)  -0.02
Pu (0.500, 0.500, 0.000)  -4.14
In (0.000, 0.000, 0.000)  -0.05
Pt (0.251, 0.749, 0.000)  0.07
Pt (0.749, 0.749, 0.000)  0.07
Pt (0.251, 0.251, 0.499)  0.07
Pt (0.749, 0.251, 0.000)  0.07
Pt (0.251, 0.251, 0.000)  0.07
Pt (0.749, 0.749, 0.501)  0.07

For the formation energy, the calculation gives -6.1 kcal/mol of atoms. The total magnetization is 4.07 μB/cell. The calculation puts the density of states at the Fermi level at 0.916 states/eV per atom.

---

8.
The following is a GGA-PBE calculation of a relaxed structure of Tm2In3Ni, from Alexandria via LeMat-Bulk.

abc: 3.562 4.746 8.174
angles: 90.00 90.00 90.00
Fractional coordinates of all 6 atoms:
Tm (0.000, 0.500, 0.041)
Tm (0.000, 0.000, 0.484)
In (0.500, 0.000, 0.834)
In (0.500, 0.000, 0.182)
In (0.500, 0.500, 0.640)
Ni (0.500, 0.500, 0.319)

For the formation energy, the calculation gives -8.6 kcal/mol of atoms. The total magnetization is 0.00 μB/cell. The calculation puts the density of states at the Fermi level at 0.689 states/eV per atom.

---

9.
The following is a GGA-PBE calculation of a relaxed structure of Ti2TlHOs, from Alexandria via LeMat-Bulk.

abc: 4.239 3.882 4.239
angles: 90.00 90.00 90.00
Fractional coordinates of all 5 atoms:
H (0.000, 0.000, 0.000)
Tl (0.500, 0.500, 0.500)
Os (0.000, 0.500, 0.000)
Ti (0.000, 0.000, 0.500)
Ti (0.500, 0.000, 0.000)

The total magnetization is 0.00 μB/cell. The calculation puts the density of states at the Fermi level at 1.065 states/eV per atom. As for the total energy: -33.00 eV for the cell shown.

---

10.
The following is a GGA-PBE calculation of a relaxed structure of LiYPb, from Alexandria via LeMat-Bulk.

abc: 3.482 4.647 9.843
angles: 90.00 79.98 90.00
Site moments in Bohr magnetons follow the coordinates.
Fractional coordinates of all 6 atoms:
Pb (0.698, 0.500, 0.366)  0.00
Pb (0.520, 0.500, 0.727)  -0.01
Y (0.944, 0.000, 0.882)  0.18
Y (0.121, 0.000, 0.522)  0.09
Li (0.771, 0.000, 0.209)  0.00
Li (0.331, 0.500, 0.097)  0.00

For the formation energy, the calculation gives -6.2 kcal/mol of atoms. The total magnetization is 0.50 μB/cell. The calculation puts the density of states at the Fermi level at 0.552 states/eV per atom.

---

11.
The following is a GGA-PBE calculation of a relaxed structure of Pm6Ho2Er3Th, from Alexandria via LeMat-Bulk.

abc: 6.219 6.219 11.875
angles: 95.02 95.02 119.97
Fractional coordinates of all 12 atoms:
Pm (0.916, 0.586, 0.750)
Pm (0.754, 0.754, 0.250)
Pm (0.084, 0.414, 0.250)
Pm (0.586, 0.916, 0.750)
Pm (0.246, 0.246, 0.750)
Pm (0.414, 0.084, 0.250)
Ho (0.333, 0.667, 0.000)
Ho (0.667, 0.333, 0.000)
Er (0.167, 0.833, 0.500)
Er (0.833, 0.167, 0.500)
Er (0.500, 0.500, 0.500)
Th (0.000, 0.000, 0.000)

For the formation energy, the calculation gives 0.7 kcal/mol of atoms. The total magnetization is 0.00 μB/cell. The calculation puts the density of states at the Fermi level at 1.325 states/eV per atom.

---

12.
The following is a GGA-PBE calculation of a relaxed structure of BaZrP2, from Alexandria via LeMat-Bulk.

abc: 5.042 5.042 5.042
angles: 60.00 60.00 60.00
Fractional coordinates of all 4 atoms:
P (0.250, 0.250, 0.250)
P (0.750, 0.750, 0.750)
Ba (0.500, 0.500, 0.500)
Zr (0.000, 0.000, 0.000)

For the formation energy, the calculation gives -9.0 kcal/mol of atoms. The total magnetization is 0.00 μB/cell. The calculation puts the density of states at the Fermi level at 0.910 states/eV per atom.

---

The highest total magnetization belongs to which entry? Ac2PuInPt6